Ca3W at its PBEsol-relaxed geometry, computed with SCAN.

Computed properties:
Final energy = -23.59 eV per atom
Total magnetic moment = 2.144 μB/f.u.
Energy of formation from the pure elements = 415 kJ/mol of formula units

Unit cell a=4.7839 b=4.7839 c=4.7839 alpha=90.00 beta=90.00 gamma=90.00
Space group Pm-3m (No. 221)
One atom of each set of equivalent atoms:
Ca1 0.0000 0.0000 0.5000
W1 0.5000 0.5000 0.5000